Material: PmDy2Cu2Si2
Method: DFT, PBE
State: optimized geometry

Output
**N(E_F)**: 3.9 states/eV/f.u.
**ΔE_f (raw)**: -46.9 kJ/mol of atoms
**Raw total energy**: -5.199 eV/atom

Cell and atoms, written as POSCAR:
```
PmDy2Cu2Si2
1.0
4.217 0.000 0.000
2.109 3.652 0.000
2.109 1.217 9.530
Si Cu Pm Dy
2 2 1 2
Cartesian
2.109 1.217 2.032 Si
6.326 3.652 7.499 Si
4.217 2.435 1.970 Cu
4.217 2.435 7.560 Cu
0.000 0.000 0.000 Pm
2.109 1.217 5.911 Dy
6.326 3.652 3.620 Dy
```

=====

Material: PmDyCuSi
Method: DFT, PBE
State: optimized geometry

Output
**N(E_F)**: 3.7 states/eV/f.u.
**ΔE_f (raw)**: -48.1 kJ/mol of atoms
**Raw total energy**: -5.216 eV/atom

Cell and atoms, written as POSCAR:
```
PmDyCuSi
1.0
-0.123 3.499 2.130
-0.240 -2.134 3.492
5.526 -1.776 -0.706
Cu Si Dy Pm
1 1 1 1
Cartesian
0.498 0.679 2.856 Cu
4.686 -0.023 0.308 Si
3.801 0.663 3.073 Dy
1.581 -0.008 0.104 Pm
```

=====

Material: PmDyCuSi
Method: DFT, PBE
State: optimized geometry

Output
**N(E_F)**: 3.1 states/eV/f.u.
**ΔE_f (raw)**: -39.0 kJ/mol of atoms
**Raw total energy**: -5.122 eV/atom

Cell and atoms, written as POSCAR:
```
PmDyCuSi
1.0
5.004 0.000 0.000
2.502 4.333 0.000
2.502 1.444 4.086
Cu Si Pm Dy
1 1 1 1
Cartesian
2.502 1.444 1.021 Cu
7.506 4.333 3.064 Si
0.000 0.000 0.000 Pm
5.004 2.889 2.043 Dy
```

=====

Material: Pm2DyCu2Si2
Method: DFT, PBE
State: optimized geometry

Output
**N(E_F)**: 7.4 states/eV/f.u.
**ΔE_f (raw)**: -47.9 kJ/mol of atoms
**Raw total energy**: -5.231 eV/atom

Cell and atoms, written as POSCAR:
```
Pm2DyCu2Si2
1.0
-1.921 -3.403 1.290
1.919 -3.636 -0.171
3.891 -0.762 10.351
Pm Si Dy Cu
2 2 1 2
Cartesian
1.383 -6.476 4.671 Pm
2.505 -1.326 6.799 Pm
0.689 -2.066 2.142 Si
3.199 -5.736 9.328 Si
0.000 0.000 0.000 Dy
3.210 -3.385 8.981 Cu
0.678 -4.416 2.488 Cu
```

=====

Material: PmDyCu2Si2
Method: DFT, PBE
State: optimized geometry

Output
**N(E_F)**: 1.8 states/eV/f.u.
**ΔE_f (raw)**: -63.3 kJ/mol of atoms
**Raw total energy**: -5.388 eV/atom

Cell and atoms, written as POSCAR:
```
PmDyCu2Si2
1.0
-2.874 -1.974 2.310
0.911 -1.388 -3.839
5.423 -4.490 2.910
Cu Pm Dy Si
2 1 1 2
Cartesian
3.650 -4.896 0.358 Cu
-0.191 -2.955 1.023 Cu
0.000 0.000 0.000 Pm
2.711 -2.245 1.455 Dy
2.411 -5.109 2.419 Si
1.049 -2.742 -1.038 Si
```

=====

Material: TbPmDyCu
Method: DFT, PBE
State: optimized geometry

Output
**N(E_F)**: 3.9 states/eV/f.u.
**ΔH_f (0 K)**: -0.0990 eV per atom
**Raw total energy**: -4.619 eV/atom

Cell and atoms, written as POSCAR:
```
TbPmDyCu
1.0
3.529 0.000 0.000
0.000 3.529 0.000
0.000 0.000 8.688
Pm Tb Cu Dy
1 1 1 1
Cartesian
0.000 0.000 0.608 Pm
1.765 1.765 3.275 Tb
0.000 0.000 4.982 Cu
1.765 1.765 6.640 Dy
```